DFT (SCAN) results for a crystal of TlReSb2 relaxed with PBEsol.

Properties
ΔE to the lowest computed polymorph (eV per atom): 0.764
Space-group type: No. 119
ΔE_f (raw) (eV per atom): 1.13
Total magnetic moment (Bohr magnetons per cell): 0.00

a = 5.2205 Å, b = 5.2205 Å, c = 5.2205 Å
α = 128.34°, β = 128.34°, γ = 76.07°
Last column: nearest neighbours and their distance in Å.
Atoms (fractional coordinates):
Tl  0.0000  0.0000  0.0000  8 Sb 3.07-3.22, 4 Re 3.07
Re  0.7500  0.2500  0.5000  8 Sb 3.07-3.22, 4 Tl 3.07
Sb  0.2500  0.7500  0.5000  4 Sb 3.07, 4 Tl 3.07, 4 Re 3.22
Sb  0.5000  0.5000  0.0000  4 Re 3.07, 4 Sb 3.07, 4 Tl 3.22

DFT (SCAN) results for a crystal of Ba2TeOs relaxed with PBEsol.

Properties
Space-group type: No. 166
ΔE_f (raw) (eV per atom): -0.02
Total magnetic moment (Bohr magnetons per cell): 2.00

a = 8.4835 Å, b = 8.4835 Å, c = 8.4835 Å
α = 31.34°, β = 31.34°, γ = 31.34°
Last column: nearest neighbours and their distance in Å.
Atoms (fractional coordinates):
Ba  0.2447  0.2447  0.2447  3 Os 3.25, 3 Te 3.41
Ba  0.7553  0.7553  0.7553  3 Os 3.25, 3 Te 3.41
Te  0.0000  0.0000  0.0000  6 Ba 3.41
Os  0.5000  0.5000  0.5000  6 Ba 3.25

DFT (SCAN) results for a crystal of Sb5C relaxed with PBEsol.

Properties
ΔE to the lowest computed polymorph (eV per atom): 0.000
Space-group type: No. 38
ΔE_f (raw) (eV per atom): 0.61
Total magnetic moment (Bohr magnetons per cell): 0.00

a = 4.0405 Å, b = 12.4228 Å, c = 12.4228 Å
α = 15.11°, β = 90.00°, γ = 90.00°
Last column: nearest neighbours and their distance in Å.
Atoms (fractional coordinates):
Sb  0.0000  0.0000  0.0000  2 Sb 2.88
Sb  0.0000  0.3131  0.3131  2 C 2.33
Sb  0.0000  0.6794  0.6794  2 Sb 2.87
Sb  0.5000  0.5966  0.5966  2 Sb 2.87
Sb  0.5000  0.9168  0.9168  2 C 2.14
C  0.5000  0.3606  0.3606  4 Sb 2.14-2.33

DFT (SCAN) results for a crystal of BeTl2Pt relaxed with PBEsol.

Properties
ΔE to the lowest computed polymorph (eV per atom): 0.499
Space-group type: No. 225
ΔE_f (eV per atom): 0.524
Total magnetic moment (Bohr magnetons per cell): 0.00

a = 4.7375 Å, b = 4.7375 Å, c = 4.7375 Å
α = 60.00°, β = 60.00°, γ = 60.00°
Last column: nearest neighbours and their distance in Å.
Atoms (fractional coordinates):
Be  0.0000  0.0000  0.0000  8 Tl 2.90
Tl  0.2500  0.2500  0.2500  4 Pt 2.90, 4 Be 2.90
Tl  0.7500  0.7500  0.7500  4 Be 2.90, 4 Pt 2.90
Pt  0.5000  0.5000  0.5000  8 Tl 2.90